Below is a relaxed structure of Pm5Nd2YSc, with properties calculated at the PBE-GGA level.

a = 8.4935 Å, b = 8.4935 Å, c = 16.8015 Å
α = 90.00°, β = 90.00°, γ = 90.00°
With the nearest neighbours (Å) after each atom.
Space group I4/mcm (No. 140)
One atom of each set of equivalent atoms:
Pm 0.0000 0.0000 0.0000 (multiplicity 4)  4 Nd 3.36
Pm 0.2163 0.2837 0.1451 (multiplicity 16)  1 Nd 3.10, 1 Sc 3.14
Nd 0.1239 0.3761 0.5000 (multiplicity 8)  1 Nd 2.98, 2 Pm 3.10
Y 0.0000 0.0000 0.2500 (multiplicity 4)  8 Pm 3.51
Sc 0.0000 0.5000 0.2500 (multiplicity 4)  4 Pm 3.14

## Properties
Magnetization (μB per cell): 0.0
E_form (kcal/mol of atoms): 6.4
Calculated volume (Å³/cell): 1212.04
Electronic total energy (eV per atom): -4.844